Material: Pm8Co3CCl3
Method: DFT, GGA-PBE
State: relaxed Values from VASP.

* electronic total energy: -5.584 eV per atom
* total moment: 0.00 μB/cell

The structure in Quantum ESPRESSO input format:
```
&SYSTEM
  ibrav = 0, nat = 15, ntyp = 4
/
ATOMIC_SPECIES
Pm 145.00 Pm.upf
Co 58.93 Co.upf
C 12.01 C.upf
Cl 35.45 Cl.upf
CELL_PARAMETERS angstrom
6.8176 -3.9399 0.0000
6.8176 3.9399 0.0000
-4.5498 0.0000 7.2756
ATOMIC_POSITIONS angstrom
Pm 3.4489 2.0470 5.0406
Pm -0.0913 0.0000 5.0421
Pm 5.6365 2.0470 2.2350
Pm 2.2694 0.0000 2.1322
Pm 6.8161 0.0000 5.1434
Pm 3.4489 -2.0470 5.0406
Pm 9.1767 0.0000 2.2335
Pm 5.6365 -2.0470 2.2350
Co 1.1339 1.9699 3.6378
Co 1.1339 -1.9699 3.6378
Co 4.5427 0.0000 3.6378
C -2.2749 0.0000 3.6378
Cl 0.0000 0.0000 0.0000
Cl 3.4088 1.9699 0.0000
Cl 3.4088 -1.9699 0.0000
```